# 1
# Rb2U2PdSe6 (GGA-PBE, relaxed)
# **DFT total energy**: -123.7 eV per cell
# **N(E_F)**: 1.225 states/eV/atom
# **Total magnetic moment**: 3.98 μB per formula unit
data_Rb2U2PdSe6
_symmetry_space_group_name_H-M 'C 1 2/m 1'
_symmetry_Int_Tables_number 12
_cell_length_a 7.504
_cell_length_b 11.405
_cell_length_c 8.390
_cell_angle_alpha 90.00
_cell_angle_beta 105.52
_cell_angle_gamma 90.00
loop_
_symmetry_equiv_pos_as_xyz
'x,y,z'
'-x,-y,-z'
'-x,y,-z'
'x,-y,z'
'x+1/2,y+1/2,z'
'-x+1/2,-y+1/2,-z'
'-x+1/2,y+1/2,-z'
'x+1/2,-y+1/2,z'
loop_
_atom_site_label
_atom_site_fract_x
_atom_site_fract_y
_atom_site_fract_z
Rb1 0.000 0.180 0.000
U1 0.000 0.334 0.500
Pd1 0.000 0.000 0.500
Se1 0.172 0.500 0.735
Se2 0.218 0.155 0.678



# 2
# RbUPdSe2 (GGA-PBE, relaxed)
# **DFT total energy**: -57.4 eV per cell
# **N(E_F)**: 1.240 states/eV/atom
# **Total magnetic moment**: 2.96 μB per formula unit
data_RbUPdSe2
_symmetry_space_group_name_H-M 'P 1 2/c 1'
_symmetry_Int_Tables_number 13
_cell_length_a 8.569
_cell_length_b 4.890
_cell_length_c 7.482
_cell_angle_alpha 90.00
_cell_angle_beta 101.18
_cell_angle_gamma 90.00
loop_
_symmetry_equiv_pos_as_xyz
'x,y,z'
'-x,-y,-z'
'-x,y,-z+1/2'
'x,-y,z+1/2'
loop_
_atom_site_label
_atom_site_fract_x
_atom_site_fract_y
_atom_site_fract_z
Rb1 0.000 0.199 0.250
U1 0.500 0.493 0.750
Pd1 0.500 0.000 0.000
Se1 0.262 0.301 0.951



# 3
# RbU2Pd2Se6 (GGA-PBE, relaxed)
# **DFT total energy**: -63.9 eV per cell
# **N(E_F)**: 0.812 states/eV/atom
# **Total magnetic moment**: 0.97 μB per formula unit
data_RbU2Pd2Se6
_symmetry_space_group_name_H-M 'P -1'
_symmetry_Int_Tables_number 2
_cell_length_a 6.961
_cell_length_b 7.511
_cell_length_c 7.550
_cell_angle_alpha 61.41
_cell_angle_beta 70.10
_cell_angle_gamma 63.95
loop_
_symmetry_equiv_pos_as_xyz
'x,y,z'
'-x,-y,-z'
loop_
_atom_site_label
_atom_site_fract_x
_atom_site_fract_y
_atom_site_fract_z
Rb1 0.000 0.000 0.000
U1 0.013 0.664 0.669
Pd1 0.488 0.709 0.357
Se1 0.244 0.933 0.566
Se2 0.248 0.519 0.361
Se3 0.253 0.312 0.966



# 4
# Rb2UPd2Se4 (GGA-PBE, relaxed)
# **DFT total energy**: -92.3 eV per cell
# **N(E_F)**: 0.527 states/eV/atom
# **Total magnetic moment**: 0.82 μB per formula unit
data_Rb2UPd2Se4
_symmetry_space_group_name_H-M 'C 1 2/m 1'
_symmetry_Int_Tables_number 12
_cell_length_a 15.009
_cell_length_b 4.144
_cell_length_c 8.202
_cell_angle_alpha 90.00
_cell_angle_beta 108.41
_cell_angle_gamma 90.00
loop_
_symmetry_equiv_pos_as_xyz
'x,y,z'
'-x,-y,-z'
'-x,y,-z'
'x,-y,z'
'x+1/2,y+1/2,z'
'-x+1/2,-y+1/2,-z'
'-x+1/2,y+1/2,-z'
'x+1/2,-y+1/2,z'
loop_
_atom_site_label
_atom_site_fract_x
_atom_site_fract_y
_atom_site_fract_z
Rb1 0.136 0.000 0.075
U1 0.000 0.000 0.500
Pd1 0.180 0.500 0.493
Se1 0.012 0.500 0.271
Se2 0.191 0.000 0.677



# 5
# RbUPd2Se4 (GGA-PBE, relaxed)
# **DFT total energy**: -82.4 eV per cell
# **N(E_F)**: 1.103 states/eV/atom
# **Total magnetic moment**: 2.12 μB per formula unit
data_RbUPd2Se4
_symmetry_space_group_name_H-M 'I 2 2 2'
_symmetry_Int_Tables_number 23
_cell_length_a 6.958
_cell_length_b 7.023
_cell_length_c 8.871
_cell_angle_alpha 90.00
_cell_angle_beta 90.00
_cell_angle_gamma 90.00
loop_
_symmetry_equiv_pos_as_xyz
'x,y,z'
'-x,-y,z'
'x,-y,-z'
'-x,y,-z'
'x+1/2,y+1/2,z+1/2'
'-x+1/2,-y+1/2,z+1/2'
'x+1/2,-y+1/2,-z+1/2'
'-x+1/2,y+1/2,-z+1/2'
loop_
_atom_site_label
_atom_site_fract_x
_atom_site_fract_y
_atom_site_fract_z
Rb1 0.000 0.000 0.000
U1 0.000 0.000 0.500
Pd1 0.000 0.500 0.247
Se1 0.212 0.214 0.301



# 6
# Rb2UPdSe5 (GGA-PBE, relaxed)
# **DFT total energy**: -174.4 eV per cell
# **N(E_F)**: 0.501 states/eV/atom
# **Total magnetic moment**: 0.66 μB per formula unit
data_Rb2UPdSe5
_symmetry_space_group_name_H-M 'C m c 21'
_symmetry_Int_Tables_number 36
_cell_length_a 4.156
_cell_length_b 19.446
_cell_length_c 14.321
_cell_angle_alpha 90.00
_cell_angle_beta 90.00
_cell_angle_gamma 90.00
loop_
_symmetry_equiv_pos_as_xyz
'x,y,z'
'-x,-y,z+1/2'
'-x,y,z'
'x,-y,z+1/2'
'x+1/2,y+1/2,z'
'-x+1/2,-y+1/2,z+1/2'
'-x+1/2,y+1/2,z'
'x+1/2,-y+1/2,z+1/2'
loop_
_atom_site_label
_atom_site_fract_x
_atom_site_fract_y
_atom_site_fract_z
Rb1 0.000 0.108 0.000
Rb2 0.000 0.145 0.332
U1 0.000 0.163 0.690
Pd1 0.000 0.455 0.121
Se1 0.000 0.025 0.723
Se2 0.000 0.295 0.650
Se3 0.000 0.323 0.319
Se4 0.000 0.336 0.054
Se5 0.000 0.465 0.954



# 7
# RbU3Pd2Se6 (GGA-PBE, relaxed)
# **DFT total energy**: -155.6 eV per cell
# **N(E_F)**: 1.293 states/eV/atom
# **Total magnetic moment**: 7.00 μB per formula unit
data_RbU3Pd2Se6
_symmetry_space_group_name_H-M 'C 1 2/m 1'
_symmetry_Int_Tables_number 12
_cell_length_a 20.362
_cell_length_b 4.205
_cell_length_c 9.784
_cell_angle_alpha 90.00
_cell_angle_beta 114.73
_cell_angle_gamma 90.00
loop_
_symmetry_equiv_pos_as_xyz
'x,y,z'
'-x,-y,-z'
'-x,y,-z'
'x,-y,z'
'x+1/2,y+1/2,z'
'-x+1/2,-y+1/2,-z'
'-x+1/2,y+1/2,-z'
'x+1/2,-y+1/2,z'
loop_
_atom_site_label
_atom_site_fract_x
_atom_site_fract_y
_atom_site_fract_z
Rb1 0.000 0.000 0.000
U1 0.000 0.000 0.500
U2 0.168 0.500 0.832
Pd1 0.109 0.500 0.480
Se1 0.015 0.500 0.730
Se2 0.161 0.000 0.625
Se3 0.178 0.000 0.038



# 8
# Rb2UPd2Se6 (GGA-PBE, relaxed)
# **DFT total energy**: -103.7 eV per cell
# **N(E_F)**: 0.698 states/eV/atom
# **Total magnetic moment**: 0.00 μB per formula unit
data_Rb2UPd2Se6
_symmetry_space_group_name_H-M 'C 1 2/m 1'
_symmetry_Int_Tables_number 12
_cell_length_a 13.461
_cell_length_b 7.756
_cell_length_c 8.107
_cell_angle_alpha 90.00
_cell_angle_beta 123.70
_cell_angle_gamma 90.00
loop_
_symmetry_equiv_pos_as_xyz
'x,y,z'
'-x,-y,-z'
'-x,y,-z'
'x,-y,z'
'x+1/2,y+1/2,z'
'-x+1/2,-y+1/2,-z'
'-x+1/2,y+1/2,-z'
'x+1/2,-y+1/2,z'
loop_
_atom_site_label
_atom_site_fract_x
_atom_site_fract_y
_atom_site_fract_z
Rb1 0.243 0.000 0.227
U1 0.000 0.000 0.500
Pd1 0.075 0.500 0.221
Se1 0.002 0.234 0.744
Se2 0.238 0.000 0.749



# 9
# RbPdW2Se8 (GGA-PBE, relaxed)
# **DFT total energy**: -190.9 eV per cell
# **N(E_F)**: 0.531 states/eV/atom
# **Total magnetic moment**: 0.00 μB per formula unit
data_RbPdW2Se8
_symmetry_space_group_name_H-M 'R -3'
_symmetry_Int_Tables_number 148
_symmetry_space_group_name_Hall '-R 3'
_cell_length_a 6.4231
_cell_length_b 6.4231
_cell_length_c 29.9556
_cell_angle_alpha 90.00
_cell_angle_beta 90.00
_cell_angle_gamma 120.00
loop_
_atom_site_label
_atom_site_fract_x
_atom_site_fract_y
_atom_site_fract_z
Rb1 0.0000 0.0000 0.0000
Pd1 0.0000 0.0000 0.5000
W1 0.0000 0.0000 0.2427
Se1 0.0000 0.0000 0.3200
Se2 0.9996 0.3483 0.2182



# 10
# RbZnPdSe2 (GGA-PBE, relaxed)
# **DFT total energy**: -34.9 eV per cell
# **N(E_F)**: 0.521 states/eV/atom
# **Total magnetic moment**: 0.00 μB per formula unit
data_RbZnPdSe2
_symmetry_space_group_name_H-M 'P c c m'
_symmetry_Int_Tables_number 49
_cell_length_a 3.989
_cell_length_b 7.640
_cell_length_c 8.099
_cell_angle_alpha 90.00
_cell_angle_beta 90.00
_cell_angle_gamma 90.00
loop_
_symmetry_equiv_pos_as_xyz
'x,y,z'
'-x,-y,-z'
'-x,-y,z'
'x,y,-z'
'x,-y,-z+1/2'
'-x,y,z+1/2'
'-x,y,-z+1/2'
'x,-y,z+1/2'
loop_
_atom_site_label
_atom_site_fract_x
_atom_site_fract_y
_atom_site_fract_z
Rb1 0.000 0.000 0.250
Zn1 0.000 0.500 0.000
Pd1 0.500 0.500 0.250
Se1 0.496 0.279 0.000



# 11
# RbZrPdSe3 (GGA-PBE, relaxed)
# **DFT total energy**: -63.5 eV per cell
# **N(E_F)**: 0.569 states/eV/atom
# **Total magnetic moment**: 0.00 μB per formula unit
data_RbZrPdSe3
_symmetry_space_group_name_H-M 'P 1 21/m 1'
_symmetry_Int_Tables_number 11
_cell_length_a 9.081
_cell_length_b 3.917
_cell_length_c 10.055
_cell_angle_alpha 90.00
_cell_angle_beta 113.25
_cell_angle_gamma 90.00
loop_
_symmetry_equiv_pos_as_xyz
'x,y,z'
'-x,-y,-z'
'-x,y+1/2,-z'
'x,-y+1/2,z'
loop_
_atom_site_label
_atom_site_fract_x
_atom_site_fract_y
_atom_site_fract_z
Rb1 0.228 0.250 0.253
Zr1 0.308 0.750 0.837
Pd1 0.094 0.250 0.601
Se1 0.118 0.250 0.868
Se2 0.236 0.750 0.551
Se3 0.468 0.750 0.140